# 1
# La4Ho6Th PBE optimized geometry
# - Energy of formation from the pure elements: 0.1300 eV/atom
data_La4Ho6Th
_cell_length_a 5.8082
_cell_length_b 5.6753
_cell_length_c 26.1168
_cell_angle_alpha 90.00
_cell_angle_beta 90.00
_cell_angle_gamma 120.78
_symmetry_space_group_name_H-M 'P 1'
_symmetry_Int_Tables_number 1
_symmetry_space_group_name_Hall 'P 1'
loop_
_atom_site_label
_atom_site_fract_x
_atom_site_fract_y
_atom_site_fract_z
_atom_site_occupancy
La1 0.8405 0.6811 0.5451 1
La2 0.4711 0.9422 0.1240 1
La3 0.1595 0.3189 0.4549 1
La4 0.5289 0.0578 0.8760 1
La5 0.8405 0.6811 0.9549 1
La6 0.1595 0.3189 0.0451 1
La7 0.5289 0.0578 0.6240 1
La8 0.4711 0.9422 0.3760 1
Ho1 0.5000 0.0000 0.0000 1
Ho2 0.5000 0.0000 0.5000 1
Ho3 0.1408 0.2815 0.3150 1
Ho4 0.8592 0.7185 0.6850 1
Ho5 0.8592 0.7185 0.8150 1
Ho6 0.1408 0.2815 0.1850 1
Ho7 0.8146 0.6291 0.3969 1
Ho8 0.1854 0.3709 0.6031 1
Ho9 0.1854 0.3709 0.8969 1
Ho10 0.8146 0.6291 0.1031 1
Ho11 0.4726 0.9452 0.2500 1
Ho12 0.5274 0.0548 0.7500 1
Th1 0.8084 0.6169 0.2500 1
Th2 0.1916 0.3831 0.7500 1

# 2
# ZrSc3Be PBE optimized geometry
# - Energy of formation from the pure elements: 1.1553 eV/atom
data_ZrSc3Be
_cell_length_a 5.0913
_cell_length_b 5.0913
_cell_length_c 5.0913
_cell_angle_alpha 90.00
_cell_angle_beta 90.00
_cell_angle_gamma 90.00
_symmetry_space_group_name_H-M 'P 1'
_symmetry_Int_Tables_number 1
_symmetry_space_group_name_Hall 'P 1'
loop_
_atom_site_label
_atom_site_fract_x
_atom_site_fract_y
_atom_site_fract_z
_atom_site_occupancy
Sc1 0.0000 0.5000 0.0000 1
Sc2 0.0000 0.0000 0.5000 1
Sc3 0.5000 0.0000 0.0000 1
Be1 0.5000 0.5000 0.5000 1
Zr1 0.0000 0.0000 0.0000 1

# 3
# RbLiTe PBE optimized geometry
# - Formation energy without anion corrections: -0.913 eV per atom
data_RbLiTe
_cell_length_a 7.9989
_cell_length_b 10.9197
_cell_length_c 9.6850
_cell_angle_alpha 124.32
_cell_angle_beta 114.39
_cell_angle_gamma 90.00
_symmetry_space_group_name_H-M 'P 1'
_symmetry_Int_Tables_number 1
_symmetry_space_group_name_Hall 'P 1'
loop_
_atom_site_label
_atom_site_fract_x
_atom_site_fract_y
_atom_site_fract_z
_atom_site_occupancy
Rb1 0.7532 0.0295 0.5589 1
Rb2 0.1943 0.9705 0.4411 1
Rb3 0.3122 0.7500 0.0000 1
Rb4 0.3122 0.2500 0.0000 1
Rb5 0.1945 0.4706 0.4412 1
Rb6 0.7533 0.5294 0.5588 1
Li1 0.0246 0.0000 0.0000 1
Li2 0.0246 0.5000 0.0000 1
Li3 0.4821 0.3649 0.7287 1
Li4 0.7534 0.6351 0.2713 1
Li5 0.7534 0.1362 0.2713 1
Li6 0.4821 0.8638 0.7287 1
Te1 0.7536 0.2502 0.0004 1
Te2 0.7531 0.7498 0.9996 1
Te3 0.4199 0.1667 0.3333 1
Te4 0.0866 0.8333 0.6667 1
Te5 0.0866 0.3334 0.6667 1
Te6 0.4199 0.6666 0.3333 1

# 4
# Tb8In2Sn PBE optimized geometry
# - Energy of formation from the pure elements: -0.2712 eV/atom
data_Tb8In2Sn
_cell_length_a 5.1816
_cell_length_b 6.9274
_cell_length_c 9.8484
_cell_angle_alpha 102.19
_cell_angle_beta 105.25
_cell_angle_gamma 90.00
_symmetry_space_group_name_H-M 'P 1'
_symmetry_Int_Tables_number 1
_symmetry_space_group_name_Hall 'P 1'
loop_
_atom_site_label
_atom_site_fract_x
_atom_site_fract_y
_atom_site_fract_z
_atom_site_occupancy
Tb1 0.4083 0.5373 0.8166 1
Tb2 0.6583 0.9721 0.3166 1
Tb3 0.7942 0.6957 0.5883 1
Tb4 0.9785 0.2424 0.9570 1
Tb5 0.2058 0.3043 0.4117 1
Tb6 0.3417 0.0279 0.6834 1
Tb7 0.5917 0.4627 0.1834 1
Tb8 0.0215 0.7576 0.0430 1
In1 0.8131 0.2548 0.6263 1
In2 0.1869 0.7452 0.3737 1
Sn1 0.5000 0.0000 0.0000 1

# 5
# YZn9Ni2 PBE optimized geometry
# - Energy of formation from the pure elements: -0.1725 eV/atom
data_YZn9Ni2
_cell_length_a 2.9895
_cell_length_b 8.4546
_cell_length_c 8.4546
_cell_angle_alpha 120.00
_cell_angle_beta 90.00
_cell_angle_gamma 90.00
_symmetry_space_group_name_H-M 'P 1'
_symmetry_Int_Tables_number 1
_symmetry_space_group_name_Hall 'P 1'
loop_
_atom_site_label
_atom_site_fract_x
_atom_site_fract_y
_atom_site_fract_z
_atom_site_occupancy
Y1 0.0000 0.0000 0.0000 1
Zn1 0.5000 0.8105 0.1895 1
Zn2 0.0000 0.0000 0.5000 1
Zn3 0.0000 0.5000 0.5000 1
Zn4 0.5000 0.8105 0.6210 1
Zn5 0.5000 0.1895 0.8105 1
Zn6 0.5000 0.6210 0.8105 1
Zn7 0.5000 0.1895 0.3790 1
Zn8 0.0000 0.5000 0.0000 1
Zn9 0.5000 0.3790 0.1895 1
Ni1 0.0000 0.6667 0.3333 1
Ni2 0.0000 0.3333 0.6667 1

# 6
# LiSmU2Se4 PBE optimized geometry
# - Formation energy without anion corrections: -1.292 eV per atom
data_LiSmU2Se4
_cell_length_a 4.0064
_cell_length_b 6.9306
_cell_length_c 7.3028
_cell_angle_alpha 108.55
_cell_angle_beta 90.00
_cell_angle_gamma 90.00
_symmetry_space_group_name_H-M 'P 1'
_symmetry_Int_Tables_number 1
_symmetry_space_group_name_Hall 'P 1'
loop_
_atom_site_label
_atom_site_fract_x
_atom_site_fract_y
_atom_site_fract_z
_atom_site_occupancy
Li1 0.5000 0.5000 0.0000 1
Sm1 0.0000 0.0000 0.0000 1
U1 0.5000 0.0000 0.5000 1
U2 0.0000 0.5000 0.5000 1
Se1 0.5000 0.2591 0.2459 1
Se2 0.5000 0.7409 0.7541 1
Se3 0.0000 0.2619 0.7593 1
Se4 0.0000 0.7381 0.2407 1